Record 1
The following is a DFT calculation (PBEsol) of AsPRu2 after structural relaxation.

## Properties
For the polymorph energy (0 for the lowest one), the calculation gives 0.289 eV per atom. The space-group type is Pmmm (47).

Unit cell a=3.0000 b=3.4080 c=5.7198 alpha=90.00 beta=90.00 gamma=90.00
Fractional coordinates of all 4 atoms:
As 0.0000 0.0000 0.0000
P 0.5000 0.0000 0.5000
Ru 0.5000 0.5000 0.2455
Ru 0.5000 0.5000 0.7545



Record 2
The following is a DFT calculation (PBEsol) of SrZn2Pb2 after structural relaxation.

## Properties
The calculation puts the total energy at -14.24 eV per cell. The space-group type is I4/mmm (139).

Unit cell a=6.5809 b=6.5809 c=6.5809 alpha=137.78 beta=137.78 gamma=61.24
Fractional coordinates of all 5 atoms:
Sr 0.0000 0.0000 0.0000
Zn 0.3943 0.3943 0.0000
Zn 0.6057 0.6057 0.0000
Pb 0.2500 0.7500 0.5000
Pb 0.7500 0.2500 0.5000



Record 3
The following is a DFT calculation (PBEsol) of ZnHgHPb2 after structural relaxation.

## Properties
The calculation puts the total energy at -12.47 eV per cell. The space-group type is P4/mmm (123).

Unit cell a=5.5586 b=5.5586 c=3.3886 alpha=90.00 beta=90.00 gamma=90.00
Fractional coordinates of all 5 atoms:
Zn 0.0000 0.0000 0.0000
Hg 0.5000 0.5000 0.5000
H 0.0000 0.0000 0.5000
Pb 0.0000 0.5000 0.0000
Pb 0.5000 0.0000 0.0000



Record 4
The following is a DFT calculation (PBEsol) of MoIrPt2 after structural relaxation.

## Properties
For the polymorph energy (0 for the lowest one), the calculation gives 0.000 eV per atom. The space-group type is I-4m2 (119).

Unit cell a=4.7571 b=4.7571 c=4.7571 alpha=131.76 beta=131.76 gamma=70.61
Fractional coordinates of all 4 atoms:
Mo 0.0000 0.0000 0.0000
Ir 0.7500 0.2500 0.5000
Pt 0.2500 0.7500 0.5000
Pt 0.5000 0.5000 0.0000



Record 5
The following is a DFT calculation (PBEsol) of HoCu2 after structural relaxation.

## Properties
The calculation puts the total energy at -28.84 eV per cell. The space-group type is Imma (74).

Unit cell a=5.3150 b=5.3150 c=5.3150 alpha=133.16 beta=103.15 gamma=95.07
Fractional coordinates of all 6 atoms:
Ho 0.2958 0.0458 0.2500
Ho 0.7042 0.9542 0.7500
Cu 0.1119 0.6646 0.4473
Cu 0.2826 0.3354 0.9473
Cu 0.7174 0.6646 0.0527
Cu 0.8881 0.3354 0.5527



Record 6
The following is a DFT calculation (PBEsol) of Sc2Ni7 after structural relaxation.

## Properties
The calculation puts the total energy at -239.52 eV per cell. The space-group type is P6_3/mmc (194).

Unit cell a=4.7180 b=4.7180 c=23.4342 alpha=90.00 beta=90.00 gamma=120.00
Fractional coordinates of all 36 atoms:
Sc 0.3333 0.6667 0.0286
Sc 0.3333 0.6667 0.1744
Sc 0.3333 0.6667 0.3256
Sc 0.3333 0.6667 0.4714
Sc 0.6667 0.3333 0.5286
Sc 0.6667 0.3333 0.6744
Sc 0.6667 0.3333 0.8256
Sc 0.6667 0.3333 0.9714
Ni 0.0000 0.0000 0.0000
Ni 0.0000 0.0000 0.1662
Ni 0.0000 0.0000 0.3338
Ni 0.0000 0.0000 0.5000
Ni 0.0000 0.0000 0.6662
Ni 0.0000 0.0000 0.8338
Ni 0.1667 0.3333 0.7500
Ni 0.1667 0.8333 0.7500
Ni 0.1679 0.3357 0.5830
Ni 0.1679 0.3357 0.9170
Ni 0.1679 0.8321 0.5830
Ni 0.1679 0.8321 0.9170
Ni 0.3333 0.1667 0.2500
Ni 0.3333 0.6667 0.6664
Ni 0.3333 0.6667 0.8336
Ni 0.3357 0.1679 0.0830
Ni 0.3357 0.1679 0.4170
Ni 0.6643 0.8321 0.5830
Ni 0.6643 0.8321 0.9170
Ni 0.6667 0.3333 0.1664
Ni 0.6667 0.3333 0.3336
Ni 0.6667 0.8333 0.7500
Ni 0.8321 0.1679 0.0830
Ni 0.8321 0.1679 0.4170
Ni 0.8321 0.6643 0.0830
Ni 0.8321 0.6643 0.4170
Ni 0.8333 0.1667 0.2500
Ni 0.8333 0.6667 0.2500



Record 7
The following is a DFT calculation (PBEsol) of AlSbAs2Br after structural relaxation.

## Properties
The space-group type is P4/mmm (123). Its uncorrected formation energy is 0.729 eV per atom.

Unit cell a=5.2297 b=5.2297 c=5.5281 alpha=90.00 beta=90.00 gamma=90.00
Fractional coordinates of all 5 atoms:
Al 0.0000 0.0000 0.0000
Sb 0.5000 0.5000 0.5000
As 0.0000 0.5000 0.5000
As 0.5000 0.0000 0.5000
Br 0.5000 0.5000 0.0000



Record 8
The following is a DFT calculation (PBEsol) of SrTi2S after structural relaxation.

## Properties
The space-group type is I-42d (122). Its uncorrected formation energy is -0.189 eV per atom.

Unit cell a=6.1977 b=6.1977 c=6.1977 alpha=101.99 beta=101.99 gamma=125.78
Fractional coordinates of all 8 atoms:
Sr 0.0000 0.0000 0.0000
Sr 0.7500 0.2500 0.5000
Ti 0.2230 0.1250 0.5980
Ti 0.3750 0.7770 0.9020
Ti 0.5270 0.6250 0.4020
Ti 0.8750 0.4730 0.0980
S 0.2500 0.7500 0.5000
S 0.5000 0.5000 0.0000



no.,total moment (μB/cell)
1,0.0
2,0.0
3,0.0
4,0.0
5,0.0
6,3.4
7,0.0
8,0.0